Record 1
A plane-wave DFT calculation with PBE was carried out for a relaxed Ti2ReMo crystal.

## Properties
* uncorrected energy: -9.331 eV/atom
* volume: 133.02 Å³/cell
* M_tot: 0.00 μB per formula unit
* DFT formation energy: 1.743 eV per formula unit

```
data_Ti2ReMo
_cell_length_a 5.654
_cell_length_b 5.654
_cell_length_c 5.654
_cell_angle_alpha 103.08
_cell_angle_beta 103.08
_cell_angle_gamma 123.19
_space_group_name_H-M_alt 'P 1'
_space_group_IT_number 1
_space_group_name_Hall 'P 1'
loop_
_atom_site_label
_atom_site_type_symbol
_atom_site_fract_x
_atom_site_fract_y
_atom_site_fract_z
Ti1 Ti 0.117 0.125 0.492
Ti2 Ti 0.375 0.883 0.008
Ti3 Ti 0.633 0.625 0.508
Ti4 Ti 0.875 0.367 0.992
Re1 Re 0.000 0.000 0.000
Re2 Re 0.750 0.250 0.500
Mo1 Mo 0.250 0.750 0.500
Mo2 Mo 0.500 0.500 0.000
```

=====

Record 2
A plane-wave DFT calculation with PBE was carried out for a relaxed PmSmErCu crystal.

## Properties
* uncorrected energy: -4.624 eV/atom
* volume: 109.15 Å³/cell
* M_tot: 0.00 μB per formula unit
* DFT formation energy: -0.366 eV per formula unit

```
data_PmSmErCu
_cell_length_a 3.540
_cell_length_b 3.540
_cell_length_c 8.711
_cell_angle_alpha 90.00
_cell_angle_beta 90.00
_cell_angle_gamma 90.00
_space_group_name_H-M_alt 'P 1'
_space_group_IT_number 1
_space_group_name_Hall 'P 1'
loop_
_atom_site_label
_atom_site_type_symbol
_atom_site_fract_x
_atom_site_fract_y
_atom_site_fract_z
Pm1 Pm 0.000 0.000 0.000
Sm1 Sm 0.500 0.500 0.690
Er1 Er 0.500 0.500 0.301
Cu1 Cu 0.000 0.000 0.479
```